Crystalline KSrCo2 at its relaxed geometry, computed with PBE.

The structure in CIF format:
```
data_KSrCo2
_cell_length_a 6.069
_cell_length_b 8.173
_cell_length_c 4.038
_cell_angle_alpha 90.00
_cell_angle_beta 90.13
_cell_angle_gamma 90.00
_space_group_name_H-M_alt 'C 1 2/m 1'
_space_group_IT_number 12
loop_
_space_group_symop_operation_xyz
'x,y,z'
'-x,-y,-z'
'-x,y,-z'
'x,-y,z'
'x+1/2,y+1/2,z'
'-x+1/2,-y+1/2,-z'
'-x+1/2,y+1/2,-z'
'x+1/2,-y+1/2,z'
loop_
_atom_site_label
_atom_site_fract_x
_atom_site_fract_y
_atom_site_fract_z
K1 0.000 0.000 0.000
Sr1 0.000 0.500 0.000
Co1 0.250 0.250 0.500
```

- energy relative to the lowest polymorph listed for this composition (meV/atom) = 713